This record from Alexandria via LeMat-Bulk describes a geometry-optimized LiHoAsAu structure. The functional is PBE-GGA.

Geometry as extended XYZ:
```
16
Lattice="6.8674 0.0000 0.0000 0.0000 6.8674 0.0000 0.0000 0.0000 6.8674" Properties=species:S:1:pos:R:3 pbc="T T T"
Li 0.0000 0.0000 0.0000
Li 0.0000 3.4337 3.4337
Li 3.4337 0.0000 3.4337
Li 3.4337 3.4337 0.0000
Ho 0.0000 0.0000 3.4337
Ho 0.0000 3.4337 0.0000
Ho 3.4337 0.0000 0.0000
Ho 3.4337 3.4337 3.4337
As 1.7168 1.7168 1.7168
As 1.7168 5.1505 5.1505
As 5.1505 1.7168 5.1505
As 5.1505 5.1505 1.7168
Au 1.7168 1.7168 5.1505
Au 1.7168 5.1505 1.7168
Au 5.1505 1.7168 1.7168
Au 5.1505 5.1505 5.1505
```

Summary:
Total energy: -4.445 eV per atom
ΔE_f: -0.841 eV per atom
Calculated volume: 323.87 Å³/cell
Size of the total moment: 0.000 Bohr magnetons per cell


This record from Alexandria via LeMat-Bulk describes a geometry-optimized Li2HoAs2Au2 structure. The functional is PBE-GGA.

Geometry as extended XYZ:
```
7
Lattice="2.1664 1.2508 7.7868 -2.1664 1.2508 7.7868 0.0000 -2.5015 7.7868" Properties=species:S:1:pos:R:3 pbc="T T T"
Li 0.0000 0.0000 3.4506
Li 0.0000 0.0000 19.9098
Ho 0.0000 0.0000 0.0000
As 0.0000 0.0000 6.1888
As 0.0000 0.0000 17.1716
Au 0.0000 0.0000 10.2277
Au 0.0000 0.0000 13.1327
```

Summary:
Total energy: -4.194 eV per atom
ΔE_f: -0.728 eV per atom
Calculated volume: 126.59 Å³/cell
Size of the total moment: 0.000 Bohr magnetons per cell


This record from Alexandria via LeMat-Bulk describes a geometry-optimized HoAsPdAu structure. The functional is PBE-GGA.

Geometry as extended XYZ:
```
16
Lattice="6.7635 0.0000 0.0000 0.0000 6.7635 0.0000 0.0000 0.0000 6.7635" Properties=species:S:1:pos:R:3 pbc="T T T"
Ho 0.0000 0.0000 0.0000
Ho 0.0000 3.3817 3.3817
Ho 3.3817 0.0000 3.3817
Ho 3.3817 3.3817 0.0000
As 1.6909 1.6909 1.6909
As 1.6909 5.0726 5.0726
As 5.0726 1.6909 5.0726
As 5.0726 5.0726 1.6909
Pd 0.0000 0.0000 3.3817
Pd 0.0000 3.3817 0.0000
Pd 3.3817 0.0000 0.0000
Pd 3.3817 3.3817 3.3817
Au 1.6909 1.6909 5.0726
Au 1.6909 5.0726 1.6909
Au 5.0726 1.6909 1.6909
Au 5.0726 5.0726 5.0726
```

Summary:
Total energy: -5.107 eV per atom
ΔE_f: -0.682 eV per atom
Calculated volume: 309.40 Å³/cell
Size of the total moment: 0.000 Bohr magnetons per cell


This record from Alexandria via LeMat-Bulk describes a geometry-optimized Ho4AsAuS2 structure. The functional is PBE-GGA.

Geometry as extended XYZ:
```
8
Lattice="6.8794 0.0000 0.0000 0.0000 3.9569 0.0000 -2.2511 0.0000 6.7156" Properties=species:S:1:pos:R:3 pbc="T T T"
Ho 1.1404 0.0000 1.5811
Ho -0.0064 1.9785 5.0948
Ho 4.6347 1.9785 1.6209
Ho 3.4879 0.0000 5.1345
As -1.1256 0.0000 3.3578
Au 2.3142 1.9785 3.3578
S 0.0000 1.9785 0.0000
S 3.4397 0.0000 0.0000
```

Summary:
Total energy: -5.848 eV per atom
Calculated volume: 182.81 Å³/cell
Formation energy without anion corrections: -1.536 eV per atom
Size of the total moment: 0.000 Bohr magnetons per cell


This record from Alexandria via LeMat-Bulk describes a geometry-optimized Ho4AsAuSe2 structure. The functional is PBE-GGA.

Geometry as extended XYZ:
```
8
Lattice="7.1182 0.0000 0.0000 0.0000 4.0385 0.0000 -2.2897 0.0000 6.8057" Properties=species:S:1:pos:R:3 pbc="T T T"
Ho 1.1755 0.0000 1.6567
Ho 0.0490 2.0193 5.1237
Ho 4.7795 2.0193 1.6820
Ho 3.6531 0.0000 5.1490
As 0.0000 2.0193 0.0000
Au 3.5591 0.0000 0.0000
Se -1.1448 0.0000 3.4028
Se 2.4143 2.0193 3.4028
```

Summary:
Total energy: -5.597 eV per atom
Calculated volume: 195.64 Å³/cell
Formation energy without anion corrections: -1.446 eV per atom
Size of the total moment: 0.000 Bohr magnetons per cell


This record from Alexandria via LeMat-Bulk describes a geometry-optimized Ho6AsAu2Se3 structure. The functional is PBE-GGA.

Geometry as extended XYZ:
```
12
Lattice="9.2068 -2.0127 0.0000 9.2068 2.0127 0.0000 -2.6401 0.0000 7.9420" Properties=species:S:1:pos:R:3 pbc="T T T"
Ho -0.5061 0.0000 1.9633
Ho 3.7967 0.0000 7.0355
Ho 5.2358 0.0000 3.1105
Ho 10.5376 0.0000 4.8315
Ho 11.9767 0.0000 0.9065
Ho 16.2796 0.0000 5.9787
As 9.2068 0.0000 0.0000
Au 2.3473 0.0000 3.0063
Au 13.4261 0.0000 4.9357
Se 0.6900 0.0000 6.8183
Se 7.8867 0.0000 3.9710
Se 15.0835 0.0000 1.1237
```

Summary:
Total energy: -5.497 eV per atom
Calculated volume: 294.34 Å³/cell
Formation energy without anion corrections: -1.403 eV per atom
Size of the total moment: 0.000 Bohr magnetons per cell


Which value of size of the total moment does entry 2 give?
0.000 Bohr magnetons per cell


Among the records above, which one has the lowest total energy?
Ho4AsAuS2


Copy entry 2 word for word.
This record from Alexandria via LeMat-Bulk describes a geometry-optimized Li2HoAs2Au2 structure. The functional is PBE-GGA.

Geometry as extended XYZ:
```
7
Lattice="2.1664 1.2508 7.7868 -2.1664 1.2508 7.7868 0.0000 -2.5015 7.7868" Properties=species:S:1:pos:R:3 pbc="T T T"
Li 0.0000 0.0000 3.4506
Li 0.0000 0.0000 19.9098
Ho 0.0000 0.0000 0.0000
As 0.0000 0.0000 6.1888
As 0.0000 0.0000 17.1716
Au 0.0000 0.0000 10.2277
Au 0.0000 0.0000 13.1327
```

Summary:
Total energy: -4.194 eV per atom
ΔE_f: -0.728 eV per atom
Calculated volume: 126.59 Å³/cell
Size of the total moment: 0.000 Bohr magnetons per cell